The following is a DFT calculation (PBE) of a geometry-optimized Be2V2Br structure.

Unit cell a=6.2603 b=6.2603 c=3.5133 alpha=90.00 beta=90.00 gamma=90.00
Last column: nearest neighbours and their distance in Å.
Space group P4/mbm (No. 127)
Unique sites:
Be1 0.1254 0.3746 0.0000 (multiplicity 4)  1 Be 2.22, 4 V 2.45
V1 0.1458 0.6458 0.5000 (multiplicity 4)  2 Br 2.40, 6 Be 2.45-2.68, 1 V 2.58
Br1 0.0000 0.0000 0.5000 (multiplicity 2)  4 V 2.40

Summary:
Theoretical density: 4.82 g cm⁻³
Total moment: 1.3 μB/f.u.
Total DFT energy (no corrections): -5.0088 eV per atom
Energy relative to the elements, uncorrected: 464 meV/atom